A geometry-optimized BaTi4O9 structure, computed with GGA-PBEsol.

Cell and atoms, written as POSCAR:
```
BaTi4O9
1.0
-1.079 3.623 -0.156
-5.973 -1.735 1.045
2.142 1.253 14.325
Ti O Ba
8 18 2
Cartesian
-1.241 1.846 5.604
0.535 0.653 11.489
-2.580 -0.195 13.360
-4.200 -1.143 2.526
-4.743 0.773 4.890
-0.719 2.152 9.095
-0.699 -0.069 3.239
-3.834 1.304 10.966
-5.390 0.657 6.679
1.670 1.054 12.966
-0.052 0.047 1.450
-1.508 1.846 7.442
-2.487 1.659 9.890
-3.147 1.591 12.866
-3.494 -0.548 11.482
-0.922 1.852 3.510
-2.290 -0.567 2.678
-4.644 0.714 2.852
-0.797 -0.011 5.277
-3.151 1.271 5.451
-4.520 -1.148 4.620
-0.812 0.298 12.564
-3.933 -1.142 0.688
-4.970 0.902 9.488
0.194 2.505 10.973
-0.152 0.366 9.589
-2.257 1.313 0.223
-3.184 -0.609 7.907
```

Output
Raw total energy, eV/atom: -9.001
Formation energy without anion corrections, eV/atom: -3.10